# 1
VASP calculation (GGA-PBE) on crystalline CaPaCo2P2 at its relaxed geometry.

Cell and atoms, written as CIF:
```
data_CaPaCo2P2
_cell_length_a 3.8663
_cell_length_b 3.8663
_cell_length_c 7.9848
_cell_angle_alpha 90.00
_cell_angle_beta 90.00
_cell_angle_gamma 120.00
_space_group_name_H-M_alt 'P 1'
_space_group_IT_number 1
loop_
_space_group_symop_operation_xyz
'x,y,z'
loop_
_atom_site_label
_atom_site_type_symbol
_atom_site_fract_x
_atom_site_fract_y
_atom_site_fract_z
Ca1 Ca 0.0000 0.0000 0.0000
Pa1 Pa 0.0000 0.0000 0.5000
Co1 Co 0.3333 0.6667 0.2882
Co2 Co 0.6667 0.3333 0.7118
P1 P 0.3333 0.6667 0.7512
P2 P 0.6667 0.3333 0.2488
```

Values from the calculation:
Formation enthalpy at 0 K, eV/atom: -0.980
Mass density, Mg/m³: 7.24
Density of states at the Fermi level, states/eV/cell: 7.01
DFT total energy, eV/atom: -7.068


# 2
VASP calculation (GGA-PBE) on crystalline CaCoPPd at its relaxed geometry.

Cell and atoms, written as CIF:
```
data_CaCoPPd
_cell_length_a 3.7764
_cell_length_b 3.7764
_cell_length_c 9.8970
_cell_angle_alpha 90.00
_cell_angle_beta 90.00
_cell_angle_gamma 90.00
_space_group_name_H-M_alt 'P 1'
_space_group_IT_number 1
loop_
_space_group_symop_operation_xyz
'x,y,z'
loop_
_atom_site_label
_atom_site_type_symbol
_atom_site_fract_x
_atom_site_fract_y
_atom_site_fract_z
Ca1 Ca 0.2500 0.2500 0.2345
Ca2 Ca 0.7500 0.7500 0.7655
Co1 Co 0.2500 0.7500 0.5000
Co2 Co 0.7500 0.2500 0.5000
P1 P 0.2500 0.2500 0.6183
P2 P 0.7500 0.7500 0.3817
Pd1 Pd 0.2500 0.7500 0.0000
Pd2 Pd 0.7500 0.2500 0.0000
```

Values from the calculation:
Formation enthalpy at 0 K, eV/atom: -0.693
Mass density, Mg/m³: 5.56
Density of states at the Fermi level, states/eV/cell: 5.96
DFT total energy, eV/atom: -5.620


# 3
VASP calculation (GGA-PBE) on crystalline CaCoReP2 at its relaxed geometry.

Cell and atoms, written as CIF:
```
data_CaCoReP2
_cell_length_a 5.8315
_cell_length_b 5.8315
_cell_length_c 5.8315
_cell_angle_alpha 140.29
_cell_angle_beta 140.29
_cell_angle_gamma 57.41
_space_group_name_H-M_alt 'P 1'
_space_group_IT_number 1
loop_
_space_group_symop_operation_xyz
'x,y,z'
loop_
_atom_site_label
_atom_site_type_symbol
_atom_site_fract_x
_atom_site_fract_y
_atom_site_fract_z
Ca1 Ca 0.0000 0.0000 0.0000
Co1 Co 0.7500 0.2500 0.5000
Re1 Re 0.2500 0.7500 0.5000
P1 P 0.3653 0.3653 0.0000
P2 P 0.6347 0.6347 0.0000
```

Values from the calculation:
Formation enthalpy at 0 K, eV/atom: -0.697
Mass density, Mg/m³: 7.18
Density of states at the Fermi level, states/eV/cell: 2.03
DFT total energy, eV/atom: -7.172


# 4
VASP calculation (GGA-PBE) on crystalline CaCoP2Rh at its relaxed geometry.

Cell and atoms, written as CIF:
```
data_CaCoP2Rh
_cell_length_a 5.5682
_cell_length_b 5.5682
_cell_length_c 5.5682
_cell_angle_alpha 138.25
_cell_angle_beta 138.25
_cell_angle_gamma 60.52
_space_group_name_H-M_alt 'P 1'
_space_group_IT_number 1
loop_
_space_group_symop_operation_xyz
'x,y,z'
loop_
_atom_site_label
_atom_site_type_symbol
_atom_site_fract_x
_atom_site_fract_y
_atom_site_fract_z
Ca1 Ca 0.0000 0.0000 0.0000
Co1 Co 0.7500 0.2500 0.5000
P1 P 0.3778 0.3778 0.0000
P2 P 0.6222 0.6222 0.0000
Rh1 Rh 0.2500 0.7500 0.5000
```

Values from the calculation:
Formation enthalpy at 0 K, eV/atom: -0.874
Mass density, Mg/m³: 5.79
Density of states at the Fermi level, states/eV/cell: 2.76
DFT total energy, eV/atom: -6.330